# 1
DFT (PBE) results for a geometry-optimized FeNiGeOs structure.

Values from the calculation:
Final energy (eV/cell): -28.81

a = 4.163 Å, b = 4.163 Å, c = 4.163 Å
α = 60.00°, β = 60.00°, γ = 60.00°
Positions (direct):
Fe 0.000 0.000 0.000
Ni 0.500 0.500 0.500
Ge 0.750 0.750 0.750
Os 0.250 0.250 0.250

---

# 2
DFT (PBE) results for a geometry-optimized TmMg2Se structure.

Values from the calculation:
Final energy (eV/cell): -25.43

a = 6.069 Å, b = 6.069 Å, c = 6.820 Å
α = 90.00°, β = 90.00°, γ = 53.67°
Positions (direct):
Tm 0.103 0.897 0.750
Tm 0.897 0.103 0.250
Mg 0.182 0.424 0.250
Mg 0.424 0.182 0.750
Mg 0.576 0.818 0.250
Mg 0.818 0.576 0.750
Se 0.500 0.500 0.000
Se 0.500 0.500 0.500

---

# 3
DFT (PBE) results for a geometry-optimized MgZnHgTe3 structure.

Values from the calculation:
Final energy (eV/cell): -28.20

a = 7.119 Å, b = 7.119 Å, c = 12.370 Å
α = 90.00°, β = 90.00°, γ = 147.07°
Positions (direct):
Mg 0.229 0.771 0.750
Mg 0.771 0.229 0.250
Zn 0.473 0.527 0.250
Zn 0.527 0.473 0.750
Hg 0.000 0.000 0.000
Hg 0.000 0.000 0.500
Te 0.103 0.897 0.250
Te 0.351 0.649 0.083
Te 0.351 0.649 0.417
Te 0.649 0.351 0.583
Te 0.649 0.351 0.917
Te 0.897 0.103 0.750